{
  "formula": "Na2AgPbF8",
  "functional": "PBE-GGA",
  "state": "optimized geometry",
  "cell": [[4.705, -0.157, -0.023], [-0.157, 5.370, 0.071], [-0.027, 0.116, 7.311]],
  "species": ["F", "F", "F", "F", "F", "F", "F", "F", "Ag", "Pb", "Na", "Na"],
  "frac_coords": [[0.846, 0.192, 0.229], [0.847, 0.230, 0.788], [0.329, 0.267, 0.502], [0.153, 0.770, 0.212], [0.352, 0.256, 0.006], [0.648, 0.744, 0.994], [0.671, 0.733, 0.498], [0.154, 0.808, 0.771], [0.000, 0.000, 0.500], [0.000, 0.000, 0.000], [0.512, 0.498, 0.258], [0.488, 0.502, 0.742]],
  "space_group": "P-1, No. 2"
}

***

{
  "formula": "NaAgPb2F6",
  "functional": "PBE-GGA",
  "state": "optimized geometry",
  "cell": [[5.886, 0.000, 0.000], [0.000, 5.548, 0.000], [0.000, 0.000, 5.548]],
  "species": ["Pb", "Pb", "F", "F", "F", "F", "F", "F", "Ag", "Na"],
  "frac_coords": [[0.997, 0.500, 0.000], [0.997, 0.000, 0.500], [0.183, 0.500, 0.500], [0.762, 0.252, 0.748], [0.144, 0.000, 0.000], [0.762, 0.252, 0.252], [0.762, 0.748, 0.252], [0.762, 0.748, 0.748], [0.516, 0.000, 0.000], [0.561, 0.500, 0.500]],
  "space_group": "P4mm, No. 99"
}

***

{
  "formula": "NaAgPbF6",
  "functional": "PBE-GGA",
  "state": "optimized geometry",
  "cell": [[-4.501, 2.093, 1.858], [-1.373, -4.718, 1.988], [4.963, 2.457, 9.258]],
  "species": ["F", "F", "F", "F", "F", "F", "F", "F", "F", "F", "F", "F", "Pb", "Pb", "Na", "Na", "Ag", "Ag"],
  "frac_coords": [[0.814, 0.186, 0.183], [0.693, 0.693, 0.978], [0.717, 0.717, 0.338], [0.283, 0.283, 0.338], [0.217, 0.783, 0.838], [0.186, 0.814, 0.183], [0.686, 0.686, 0.683], [0.783, 0.217, 0.838], [0.807, 0.193, 0.478], [0.307, 0.307, 0.978], [0.314, 0.314, 0.683], [0.193, 0.807, 0.478], [0.500, 0.500, 0.834], [0.000, 0.000, 0.334], [0.000, 0.000, 0.998], [0.500, 0.500, 0.498], [0.000, 0.000, 0.668], [0.500, 0.500, 0.168]],
  "space_group": "P4_2nm, No. 102"
}

***

{
  "formula": "Na4Ag3PbF12",
  "functional": "PBE-GGA",
  "state": "optimized geometry",
  "cell": [[-5.682, 2.441, 3.750], [2.312, -6.211, 2.896], [5.321, 4.894, 0.227]],
  "species": ["F", "F", "F", "F", "F", "F", "F", "F", "F", "F", "F", "F", "Na", "Na", "Na", "Na", "Ag", "Ag", "Ag", "Pb"],
  "frac_coords": [[0.697, 0.838, 0.534], [0.466, 0.303, 0.162], [0.838, 0.534, 0.697], [0.838, 0.141, 0.303], [0.303, 0.838, 0.141], [0.859, 0.697, 0.162], [0.162, 0.466, 0.303], [0.697, 0.162, 0.859], [0.303, 0.162, 0.466], [0.162, 0.859, 0.697], [0.141, 0.303, 0.838], [0.534, 0.697, 0.838], [0.000, 0.500, 0.000], [0.500, 0.500, 0.500], [0.000, 0.000, 0.500], [0.500, 0.000, 0.000], [0.500, 0.000, 0.500], [0.500, 0.500, 0.000], [0.000, 0.500, 0.500], [0.000, 0.000, 0.000]],
  "space_group": "Im-3, No. 204"
}

***

{
  "formula": "NaAg2PdF8",
  "functional": "PBE-GGA",
  "state": "optimized geometry",
  "cell": [[5.396, 0.000, 0.000], [0.000, 5.396, 0.000], [-2.698, -2.698, 5.397]],
  "species": ["F", "F", "F", "F", "F", "F", "F", "F", "Ag", "Ag", "Pd", "Na"],
  "frac_coords": [[0.348, 0.879, 0.234], [0.885, 0.354, 0.234], [0.121, 0.115, 0.766], [0.885, 0.879, 0.233], [0.646, 0.652, 0.766], [0.646, 0.115, 0.767], [0.121, 0.652, 0.767], [0.348, 0.354, 0.233], [0.500, 0.500, 0.000], [0.250, 0.750, 0.500], [0.000, 0.000, 0.000], [0.750, 0.250, 0.500]],
  "space_group": "I-4m2, No. 119"
}

***

{
  "formula": "Na2Ag2PdF6",
  "functional": "PBE-GGA",
  "state": "optimized geometry",
  "cell": [[5.641, 0.351, -0.159], [-2.483, 5.077, -0.159], [-1.349, -2.320, 5.839]],
  "species": ["Ag", "Ag", "F", "F", "F", "F", "F", "F", "Na", "Na", "Pd"],
  "frac_coords": [[0.184, 0.816, 0.000], [0.816, 0.184, 0.000], [0.740, 0.740, 0.779], [0.083, 0.395, 0.686], [0.260, 0.260, 0.221], [0.917, 0.605, 0.314], [0.395, 0.083, 0.686], [0.605, 0.917, 0.314], [0.346, 0.654, 0.500], [0.654, 0.346, 0.500], [0.000, 0.000, 0.500]],
  "space_group": "C2/m, No. 12"
}

***

no.,uncorrected formation energy (meV/atom)
1,-2042
2,-2112
3,-1982
4,-1959
5,-1314
6,-1627